Record 1
Crystalline CoP3W at its relaxed geometry, computed with PBE.

Unit cell a=4.258 b=4.258 c=4.258 alpha=90.00 beta=90.00 gamma=90.00
Fractional coordinates of all 5 atoms:
P 0.500 0.000 0.000
P 0.000 0.500 0.000
P 0.000 0.000 0.500
W 0.500 0.500 0.500
Co 0.000 0.000 0.000

## Properties
* space-group type: No. 221
* V: 77 Å³ per cell
* energy of formation from the pure elements: 986 meV/atom
* E above lowest polymorph: 0.000 eV/atom

Record 2
Crystalline GdSi3Ni8 at its relaxed geometry, computed with PBE.

Unit cell a=7.547 b=7.547 c=7.498 alpha=80.34 beta=80.34 gamma=130.44
Each line ends with the local moment (μB).
Fractional coordinates of all 24 atoms:
Gd 0.632 0.368 0.250  6.96
Gd 0.368 0.632 0.750  6.96
Ni 0.000 0.000 0.000  0.00
Ni 0.568 0.150 0.671  0.00
Ni 0.439 0.290 0.931  0.01
Ni 0.197 0.861 0.579  0.00
Ni 0.000 0.000 0.500  0.00
Ni 0.150 0.568 0.171  0.00
Ni 0.861 0.197 0.079  0.00
Ni 0.803 0.139 0.421  0.00
Ni 0.432 0.850 0.329  0.00
Ni 0.123 0.877 0.250  0.01
Ni 0.290 0.439 0.431  0.01
Ni 0.710 0.561 0.569  0.01
Ni 0.877 0.123 0.750  0.01
Ni 0.561 0.710 0.069  0.01
Ni 0.139 0.803 0.921  0.00
Ni 0.850 0.432 0.829  0.00
Si 0.500 0.000 0.000  0.00
Si 0.816 0.723 0.825  0.00
Si 0.000 0.500 0.500  0.00
Si 0.277 0.184 0.675  0.00
Si 0.723 0.816 0.325  0.00
Si 0.184 0.277 0.175  0.00

## Properties
* raw formation energy: -569 meV per atom
* space-group type: No. 15
* V: 298 Å³ per cell

Record 3
Crystalline ErSn2P2Pd7 at its relaxed geometry, computed with PBE.

Unit cell a=4.111 b=4.111 c=13.227 alpha=78.01 beta=78.01 gamma=89.22
Fractional coordinates of all 12 atoms:
Sn 0.242 0.242 0.653
Sn 0.758 0.758 0.347
P 0.322 0.322 0.267
P 0.678 0.678 0.733
Pd 0.255 0.255 0.451
Pd 0.889 0.390 0.166
Pd 0.500 0.500 0.000
Pd 0.390 0.889 0.166
Pd 0.610 0.111 0.834
Pd 0.111 0.610 0.834
Pd 0.745 0.745 0.549
Er 0.000 0.000 0.000

## Properties
* space-group type: No. 12
* V: 214 Å³ per cell
* energy of formation from the pure elements: -518 meV/atom

The records above give, respectively, N(E_F) values of 5.22; 18.18; 5.80 states/eV/cell.